The following is a DFT calculation (PBE-GGA) of a geometry-optimized Tl2HgPPb structure.

```
Tl2HgPPb
1.0
-2.6240 2.6549 4.1042
2.9536 -3.0622 3.8692
3.9716 3.8734 0.0337
P Tl Pb Hg
1 2 1 1
Direct
0.5000 0.5000 0.5000 P
0.5000 0.0000 0.0000 Tl
0.0000 0.0000 0.5000 Tl
0.0000 0.5000 0.0000 Pb
0.0000 0.0000 0.0000 Hg
```

Calculated values
Energy of formation, eV/atom: 0.7172
V, Å³/cell: 177.00